Entry 1:
# TcRu PBE optimized geometry
data_TcRu
_chemical_formula_sum 'Tc2 Ru2'
_cell_length_a 9.0433
_cell_length_b 9.0433
_cell_length_c 9.0433
_cell_angle_alpha 17.32
_cell_angle_beta 17.32
_cell_angle_gamma 17.32
_symmetry_space_group_name_H-M 'P 1'
_symmetry_Int_Tables_number 1
loop_
_symmetry_equiv_pos_as_xyz
'x,y,z'
loop_
_atom_site_label
_atom_site_type_symbol
_atom_site_fract_x
_atom_site_fract_y
_atom_site_fract_z
Tc1 Tc 0.1235 0.1235 0.1235
Tc2 Tc 0.8765 0.8765 0.8765
Ru1 Ru 0.3756 0.3756 0.3756
Ru2 Ru 0.6244 0.6244 0.6244
# * formation energy from the elements: 0.15 eV per formula unit
# * density: 11.56 g cm⁻³
# * VASP energy: -38.99 eV for the cell shown
# * magnetic moment: 0.000 μB per formula unit
# * symmetry: R-3m, No. 166
# * density of states at the Fermi level: 3.91 states/eV per cell
# * relative energy among the computed polymorphs: 141 meV per atom

---

Entry 2:
# MgAu2 PBE optimized geometry
data_MgAu2
_chemical_formula_sum 'Mg4 Au8'
_cell_length_a 6.4127
_cell_length_b 6.4127
_cell_length_c 6.4127
_cell_angle_alpha 90.00
_cell_angle_beta 90.00
_cell_angle_gamma 90.00
_symmetry_space_group_name_H-M 'P 1'
_symmetry_Int_Tables_number 1
loop_
_symmetry_equiv_pos_as_xyz
'x,y,z'
loop_
_atom_site_label
_atom_site_type_symbol
_atom_site_fract_x
_atom_site_fract_y
_atom_site_fract_z
Mg1 Mg 0.0000 0.0000 0.0000
Mg2 Mg 0.0000 0.5000 0.5000
Mg3 Mg 0.5000 0.0000 0.5000
Mg4 Mg 0.5000 0.5000 0.0000
Au1 Au 0.1235 0.6235 0.8765
Au2 Au 0.1235 0.8765 0.3765
Au3 Au 0.3765 0.1235 0.8765
Au4 Au 0.3765 0.3765 0.3765
Au5 Au 0.6235 0.6235 0.6235
Au6 Au 0.6235 0.8765 0.1235
Au7 Au 0.8765 0.1235 0.6235
Au8 Au 0.8765 0.3765 0.1235
# * formation energy from the elements: -0.12 eV per formula unit
# * density: 10.53 g cm⁻³
# * VASP energy: -33.09 eV for the cell shown
# * magnetic moment: 0.000 μB per formula unit
# * symmetry: Pa-3, No. 205
# * density of states at the Fermi level: 2.45 states/eV per cell